First-principles (GGA-PBE) data for Ag2GeB2O6 after structural relaxation, as listed in the Alexandria database.

It has space group R-3m (No. 166, hexagonal axes), with a = 5.0049 Å, b = 5.0049 Å, c = 16.9204 Å, α = 90.00°, β = 90.00° and γ = 120.00°. The asymmetric unit holds Ag at (0.0000, 0.0000, 0.2012), Ge at (0.0000, 0.0000, 0.0000), B at (0.0000, 0.0000, 0.3966) and O at (0.0146, 0.5073, 0.2648).

Its crystal system is trigonal. The raw formation energy is -15.8 eV per formula unit. The calculation puts the theoretical density at 5.510 g/cm3.